# 1
Al2FeAg after structural relaxation, computed with PBE-GGA.

Lattice parameters (Å, degrees): 4.490 4.490 5.074 79.62 79.62 36.18
Last column: magnetic moment on the atom in μB.
Fractional positions:
Al 0.008 0.008 0.974  -0.02
Al 0.492 0.492 0.526  -0.02
Ag 0.250 0.250 0.250  -0.02
Fe 0.750 0.750 0.750  1.89

## Properties
Size of the total moment   0.43 μB/atom
Energy above the most stable polymorph in this dataset   0.217 eV per atom
Symmetry   C2/m
Energy of formation from the pure elements   -0.0229 eV/atom
Crystal system   monoclinic
E   -4.72 eV/atom

***

# 2
Al3FeAg after structural relaxation, computed with PBE-GGA.

Lattice parameters (Å, degrees): 4.491 4.491 4.491 90.00 90.00 90.00
Fractional positions:
Al 0.500 0.000 0.000
Al 0.000 0.500 0.000
Al 0.000 0.000 0.500
Ag 0.500 0.500 0.500
Fe 0.000 0.000 0.000

## Properties
Size of the total moment   0.00 μB/atom
Energy above the most stable polymorph in this dataset   0.000 eV per atom
Symmetry   Pm-3m
Energy of formation from the pure elements   0.1235 eV/atom
Crystal system   cubic
E   -4.38 eV/atom

***

# 3
Al2FeAg after structural relaxation, computed with PBE-GGA.

Lattice parameters (Å, degrees): 4.952 4.952 4.952 136.13 136.13 63.79
Last column: magnetic moment on the atom in μB.
Fractional positions:
Al 0.000 0.000 0.000  -0.03
Al 0.250 0.750 0.500  -0.04
Fe 0.500 0.500 0.000  1.57
Ag 0.750 0.250 0.500  -0.06

## Properties
Size of the total moment   0.32 μB/atom
Energy above the most stable polymorph in this dataset   0.178 eV per atom
Symmetry   I-4m2
Energy of formation from the pure elements   -0.0611 eV/atom
Crystal system   tetragonal
E   -4.76 eV/atom

***

Q: energy of formation from the pure elements of number 3 (Al2FeAg)?
A: -0.0611 eV/atom

***

Q: What is the size of the total moment in the second record?
A: 0.00 μB/atom

***

Please write out number 1 again, unchanged.
Al2FeAg after structural relaxation, computed with PBE-GGA.

Lattice parameters (Å, degrees): 4.490 4.490 5.074 79.62 79.62 36.18
Last column: magnetic moment on the atom in μB.
Fractional positions:
Al 0.008 0.008 0.974  -0.02
Al 0.492 0.492 0.526  -0.02
Ag 0.250 0.250 0.250  -0.02
Fe 0.750 0.750 0.750  1.89

## Properties
Size of the total moment   0.43 μB/atom
Energy above the most stable polymorph in this dataset   0.217 eV per atom
Symmetry   C2/m
Energy of formation from the pure elements   -0.0229 eV/atom
Crystal system   monoclinic
E   -4.72 eV/atom